Material: HfAlCrSi2
Method: DFT, SCAN
State: PBEsol geometry

Unit cell a=4.5542 b=4.5542 c=4.3739 alpha=90.00 beta=90.00 gamma=90.00
Fractional positions:
Hf (0.0000, 0.0000, 0.0000)
Al (0.5000, 0.5000, 0.5000)
Cr (0.5000, 0.5000, 0.0000)
Si (0.0000, 0.5000, 0.5000)
Si (0.5000, 0.0000, 0.5000)

The uncorrected formation energy is 0.9721 eV per atom. The calculation puts the density of states at the Fermi level at 0.7496 states/eV/atom.

=====

Material: AlCrHg2
Method: DFT, SCAN
State: PBEsol geometry

Unit cell a=4.6932 b=4.6932 c=4.6932 alpha=60.00 beta=60.00 gamma=60.00
Fractional positions:
Al (0.0000, 0.0000, 0.0000)
Cr (0.7500, 0.7500, 0.7500)
Hg (0.2500, 0.2500, 0.2500)
Hg (0.5000, 0.5000, 0.5000)

The calculation puts the density of states at the Fermi level at 0.3481 states/eV/atom. The energy relative to the elements comes out at 0.22 eV per atom.

=====

Material: AlCrHg2
Method: DFT, SCAN
State: PBEsol geometry

Unit cell a=9.3644 b=9.3644 c=9.3644 alpha=18.52 beta=18.52 gamma=18.52
Fractional positions:
Al (0.0000, 0.0000, 0.0000)
Cr (0.7356, 0.7356, 0.7356)
Hg (0.2460, 0.2460, 0.2460)
Hg (0.4828, 0.4828, 0.4828)

The calculation puts the density of states at the Fermi level at 0.5643 states/eV/atom. The energy relative to the elements comes out at 0.20 eV per atom.

=====

Material: AlCr2Hg
Method: DFT, SCAN
State: PBEsol geometry

Unit cell a=3.0925 b=3.0925 c=6.5181 alpha=90.00 beta=90.00 gamma=90.00
Fractional positions:
Al (0.0000, 0.0000, 0.0000)
Cr (0.5000, 0.5000, 0.2283)
Cr (0.5000, 0.5000, 0.7717)
Hg (0.0000, 0.0000, 0.5000)

The calculation puts the density of states at the Fermi level at 0.4851 states/eV/atom. The energy relative to the elements comes out at 0.03 eV per atom.

=====

Material: AlCrHg2
Method: DFT, SCAN
State: PBEsol geometry

Unit cell a=2.9520 b=4.1362 c=6.0885 alpha=90.00 beta=103.25 gamma=90.00
Fractional positions:
Al (0.0000, 0.0000, 0.0000)
Cr (0.5767, 0.5000, 0.1627)
Hg (0.2187, 0.0000, 0.4431)
Hg (0.8511, 0.5000, 0.7116)

The calculation puts the density of states at the Fermi level at 0.4100 states/eV/atom. The energy relative to the elements comes out at 0.16 eV per atom.

=====

Material: AlCrI2
Method: DFT, SCAN
State: PBEsol geometry

Unit cell a=5.2852 b=5.2852 c=5.2852 alpha=60.00 beta=60.00 gamma=60.00
Fractional positions:
Al (0.0000, 0.0000, 0.0000)
Cr (0.5000, 0.5000, 0.5000)
I (0.2500, 0.2500, 0.2500)
I (0.7500, 0.7500, 0.7500)

The uncorrected formation energy is 0.2654 eV per atom. The calculation puts the density of states at the Fermi level at 0.3454 states/eV/atom.